First-principles (PBE with a Hubbard U) data for a relaxed structure of TlV2AgO6, as listed in Alexandria.

Cell: 7.614 7.614 5.987 Å, 78.91 78.91 87.01°
Element x y z (fractional)
Tl  0.284  0.716  0.250
Tl  0.716  0.284  0.750
V  0.203  0.367  0.783
V  0.633  0.797  0.717
V  0.797  0.633  0.217
V  0.367  0.203  0.283
Ag  0.896  0.104  0.250
Ag  0.104  0.896  0.750
O  0.351  0.330  0.517
O  0.670  0.649  0.983
O  0.649  0.670  0.483
O  0.330  0.351  0.017
O  0.429  0.889  0.773
O  0.111  0.571  0.727
O  0.571  0.111  0.227
O  0.889  0.429  0.273
O  0.956  0.794  0.141
O  0.206  0.044  0.359
O  0.044  0.206  0.859
O  0.794  0.956  0.641

Values from the calculation:
Relative energy among the computed polymorphs in meV per atom: 0.0
Total moment in μB per formula unit: 0.000